1.
Here is a relaxed As2Ir crystal from the Alexandria database. Energies are from PBE.

V in Å³/cell: 110.6
DOS(E_F) in states/eV per atom: 0.34
Formation energy from the elements in eV per formula unit: -0.35
Total DFT energy (no corrections) in Ry/atom: -0.45338
Spin magnetization in μB/f.u.: 0.00

Lattice parameters (Å, degrees): 6.251 6.251 5.042 97.84 97.84 34.57
Element x y z (fractional)
1 As 0.821 0.821 0.702
2 As 0.458 0.458 0.239
3 As 0.542 0.542 0.761
4 As 0.179 0.179 0.298
5 Ir 0.185 0.185 0.816
6 Ir 0.815 0.815 0.184

=====

2.
Here is a relaxed ErTmPuSc crystal from the Alexandria database. Energies are from PBE.

V in Å³/cell: 112.1
DOS(E_F) in states/eV per atom: 2.16
Formation energy from the elements in eV per formula unit: 0.66
Total DFT energy (no corrections) in Ry/atom: -0.53365
Spin magnetization in μB/f.u.: 6.10

Lattice parameters (Å, degrees): 5.413 5.413 5.413 60.00 60.00 60.00
Element x y z (fractional)
1 Er 0.750 0.750 0.750
2 Sc 0.000 0.000 0.000
3 Tm 0.500 0.500 0.500
4 Pu 0.250 0.250 0.250